A relaxed structure of SrLaTiFeO6, computed with GGA+U.

## Properties
Space group: No. 42
Calculated total energy in eV/atom: -7.622
ΔE to the lowest computed polymorph in eV/atom: 0.000
Total magnetization in μB/cell: 5.00

Cell and atoms, written as POSCAR:
```
SrLaTiFeO6
1.0
5.532 7.420 1.955
1.587 8.734 3.262
1.160 -0.674 4.147
O Ti Sr Fe La
6 1 1 1 1
Direct
0.314 0.801 0.199 O
0.801 0.314 0.686 O
0.755 0.755 0.745 O
0.193 0.687 0.807 O
0.687 0.193 0.313 O
0.255 0.255 0.245 O
0.498 0.498 0.502 Ti
0.191 0.191 0.809 Sr
0.000 0.000 0.000 Fe
0.806 0.806 0.194 La
```